Record 1
# PBE Ti2NbGe, optimized geometry
data_Ti2NbGe
_cell_length_a 3.0299
_cell_length_b 3.0299
_cell_length_c 26.4135
_cell_angle_alpha 90.00
_cell_angle_beta 90.00
_cell_angle_gamma 120.00
_space_group_name_H-M_alt 'R -3 m'
_space_group_IT_number 166
_space_group_name_Hall '-R 3 2"'
loop_
_atom_site_label
_atom_site_type_symbol
_atom_site_fract_x
_atom_site_fract_y
_atom_site_fract_z
Ti1 Ti 0.0000 0.0000 0.2472
Nb1 Nb 0.0000 0.0000 0.0000
Ge1 Ge 0.0000 0.0000 0.5000
# **DOS(E_F)**: 15.1 states/eV per cell
# **Calculated density**: 6.2 g/cm³
# **Energy**: -92.5 eV/cell
# **Total magnetic moment**: 0.00 μB per cell

=====

Record 2
# PBE TlSbOs2, optimized geometry
data_TlSbOs2
_cell_length_a 4.036
_cell_length_b 4.036
_cell_length_c 8.957
_cell_angle_alpha 90.00
_cell_angle_beta 90.00
_cell_angle_gamma 90.00
_space_group_name_H-M_alt 'I -4 m 2'
_space_group_IT_number 119
_space_group_name_Hall 'I -4 -2'
loop_
_atom_site_label
_atom_site_type_symbol
_atom_site_fract_x
_atom_site_fract_y
_atom_site_fract_z
Tl1 Tl 0.000 0.000 0.000
Sb1 Sb 0.000 0.500 0.250
Os1 Os 0.000 0.000 0.500
Os2 Os 0.000 0.500 0.750
# **DOS(E_F)**: 13.3 states/eV per cell
# **Calculated density**: 16.1 g/cm³
# **Total magnetic moment**: 0.00 μB per cell
# **ΔE to the lowest computed polymorph**: 0.666 eV/atom

=====

Record 3
# PBE Pm4DyHo2Sc, optimized geometry
data_Pm4DyHo2Sc
_cell_length_a 5.060
_cell_length_b 5.073
_cell_length_c 9.900
_cell_angle_alpha 90.00
_cell_angle_beta 90.00
_cell_angle_gamma 90.00
_space_group_name_H-M_alt 'P m m m'
_space_group_IT_number 47
loop_
_space_group_symop_operation_xyz
'x,y,z'
'-x,-y,-z'
'-x,-y,z'
'x,y,-z'
'x,-y,-z'
'-x,y,z'
'-x,y,-z'
'x,-y,z'
loop_
_atom_site_label
_atom_site_type_symbol
_atom_site_fract_x
_atom_site_fract_y
_atom_site_fract_z
Pm1 Pm 0.000 0.000 0.245
Pm2 Pm 0.500 0.500 0.245
Dy1 Dy 0.000 0.500 0.500
Ho1 Ho 0.000 0.500 0.000
Ho2 Ho 0.500 0.000 0.500
Sc1 Sc 0.500 0.000 0.000
# **DOS(E_F)**: 10.9 states/eV per cell
# **Calculated density**: 7.3 g/cm³
# **Energy**: -38.9 eV/cell
# **Total magnetic moment**: 0.00 μB per cell

=====

Record 4
# PBE K7Rb4Au, optimized geometry
data_K7Rb4Au
_cell_length_a 15.227
_cell_length_b 6.765
_cell_length_c 17.186
_cell_angle_alpha 90.00
_cell_angle_beta 104.55
_cell_angle_gamma 90.00
_space_group_name_H-M_alt 'C 1 2/m 1'
_space_group_IT_number 12
loop_
_space_group_symop_operation_xyz
'x,y,z'
'-x,-y,-z'
'-x,y,-z'
'x,-y,z'
'x+1/2,y+1/2,z'
'-x+1/2,-y+1/2,-z'
'-x+1/2,y+1/2,-z'
'x+1/2,-y+1/2,z'
loop_
_atom_site_label
_atom_site_type_symbol
_atom_site_fract_x
_atom_site_fract_y
_atom_site_fract_z
K1 K 0.000 0.000 0.000
K2 K 0.096 0.000 0.629
K3 K 0.134 0.500 0.458
K4 K 0.221 0.500 0.086
Rb1 Rb 0.051 0.500 0.817
Rb2 Rb 0.177 0.000 0.276
Au1 Au 0.000 0.500 0.000
# **DOS(E_F)**: 15.3 states/eV per cell
# **Calculated density**: 1.6 g/cm³
# **Energy**: -30.9 eV/cell
# **Total magnetic moment**: 0.00 μB per cell

=====

Record 5
# PBE CeSmTcRh, optimized geometry
data_CeSmTcRh
_cell_length_a 6.958
_cell_length_b 6.958
_cell_length_c 6.958
_cell_angle_alpha 90.00
_cell_angle_beta 90.00
_cell_angle_gamma 90.00
_space_group_name_H-M_alt 'F -4 3 m'
_space_group_IT_number 216
_space_group_name_Hall 'F -4 2 3'
loop_
_atom_site_label
_atom_site_type_symbol
_atom_site_fract_x
_atom_site_fract_y
_atom_site_fract_z
Ce1 Ce 0.000 0.000 0.000
Sm1 Sm 0.000 0.000 0.500
Tc1 Tc 0.250 0.250 0.750
Rh1 Rh 0.250 0.250 0.250
# **DOS(E_F)**: 12.4 states/eV per cell
# **Calculated density**: 9.7 g/cm³
# **Energy**: -117.9 eV/cell
# **Total magnetic moment**: 0.00 μB per cell

=====

Record 6
# PBE CdSiN2, optimized geometry
data_CdSiN2
_cell_length_a 5.639
_cell_length_b 5.639
_cell_length_c 5.639
_cell_angle_alpha 90.00
_cell_angle_beta 90.00
_cell_angle_gamma 90.00
_space_group_name_H-M_alt 'F m -3 m'
_space_group_IT_number 225
_space_group_name_Hall '-F 4 2 3'
loop_
_atom_site_label
_atom_site_type_symbol
_atom_site_fract_x
_atom_site_fract_y
_atom_site_fract_z
Cd1 Cd 0.000 0.000 0.000
Si1 Si 0.000 0.000 0.500
N1 N 0.250 0.250 0.250
# **DOS(E_F)**: 9.5 states/eV per cell
# **Calculated density**: 6.2 g/cm³
# **Energy**: -68.0 eV/cell
# **Total magnetic moment**: 0.00 μB per cell

=====

Record 7
# PBE AcNdZnPt, optimized geometry
data_AcNdZnPt
_cell_length_a 4.568
_cell_length_b 4.249
_cell_length_c 11.164
_cell_angle_alpha 90.00
_cell_angle_beta 90.00
_cell_angle_gamma 90.00
_space_group_name_H-M_alt 'A m m 2'
_space_group_IT_number 38
loop_
_space_group_symop_operation_xyz
'x,y,z'
'-x,-y,z'
'-x,y,z'
'x,-y,z'
'x,y+1/2,z+1/2'
'-x,-y+1/2,z+1/2'
'-x,y+1/2,z+1/2'
'x,-y+1/2,z+1/2'
loop_
_atom_site_label
_atom_site_type_symbol
_atom_site_fract_x
_atom_site_fract_y
_atom_site_fract_z
Ac1 Ac 0.000 0.000 0.000
Nd1 Nd 0.500 0.000 0.281
Zn1 Zn 0.500 0.000 0.577
Pt1 Pt 0.000 0.000 0.717
# **DOS(E_F)**: 6.4 states/eV per cell
# **Calculated density**: 9.7 g/cm³
# **Total magnetic moment**: 0.00 μB per cell
# **ΔE to the lowest computed polymorph**: 0.000 eV/atom

=====

Record 8
# PBE BaPa2MoN4, optimized geometry
data_BaPa2MoN4
_cell_length_a 3.581
_cell_length_b 12.246
_cell_length_c 12.224
_cell_angle_alpha 90.00
_cell_angle_beta 90.00
_cell_angle_gamma 90.00
_space_group_name_H-M_alt 'C m c m'
_space_group_IT_number 63
_space_group_name_Hall '-C 2c 2'
loop_
_atom_site_label
_atom_site_type_symbol
_atom_site_fract_x
_atom_site_fract_y
_atom_site_fract_z
Ba1 Ba 0.000 0.074 0.250
Pa1 Pa 0.000 0.367 0.052
Mo1 Mo 0.000 0.188 0.750
N1 N 0.000 0.000 0.000
N2 N 0.000 0.253 0.596
N3 N 0.000 0.405 0.250
# **DOS(E_F)**: 20.3 states/eV per cell
# **Calculated density**: 9.3 g/cm³
# **Energy**: -294.9 eV/cell
# **Total magnetic moment**: 0.00 μB per cell

=====

Record 9
# PBE Li2Sn4Br9, optimized geometry
data_Li2Sn4Br9
_cell_length_a 7.441
_cell_length_b 7.443
_cell_length_c 20.431
_cell_angle_alpha 86.91
_cell_angle_beta 86.93
_cell_angle_gamma 63.62
_space_group_name_H-M_alt 'P -1'
_space_group_IT_number 2
loop_
_space_group_symop_operation_xyz
'x,y,z'
'-x,-y,-z'
loop_
_atom_site_label
_atom_site_type_symbol
_atom_site_fract_x
_atom_site_fract_y
_atom_site_fract_z
Li1 Li 0.037 0.399 0.175
Li2 Li 0.055 0.589 0.672
Sn1 Sn 0.334 0.770 0.189
Sn2 Sn 0.334 0.833 0.990
Sn3 Sn 0.340 0.926 0.652
Sn4 Sn 0.406 0.821 0.491
Br1 Br 0.012 0.708 0.244
Br2 Br 0.048 0.871 0.587
Br3 Br 0.053 0.102 0.090
Br4 Br 0.208 0.310 0.586
Br5 Br 0.270 0.134 0.260
Br6 Br 0.303 0.577 0.760
Br7 Br 0.312 0.503 0.083
Br8 Br 0.358 0.189 0.926
Br9 Br 0.383 0.488 0.422
# **Calculated density**: 4.0 g/cm³
# **Energy**: -95.5 eV/cell
# **Total magnetic moment**: 0.00 μB per cell

=====

Record 10
# PBE SiNiAs2Br, optimized geometry
data_SiNiAs2Br
_cell_length_a 4.549
_cell_length_b 4.549
_cell_length_c 5.171
_cell_angle_alpha 90.00
_cell_angle_beta 90.00
_cell_angle_gamma 90.00
_space_group_name_H-M_alt 'P 4/m m m'
_space_group_IT_number 123
_space_group_name_Hall '-P 4 2'
loop_
_atom_site_label
_atom_site_type_symbol
_atom_site_fract_x
_atom_site_fract_y
_atom_site_fract_z
Si1 Si 0.000 0.000 0.000
Ni1 Ni 0.500 0.500 0.500
As1 As 0.000 0.500 0.500
Br1 Br 0.500 0.500 0.000
# **DOS(E_F)**: 5.4 states/eV per cell
# **Calculated density**: 4.9 g/cm³
# **Total magnetic moment**: 0.54 μB per cell
# **ΔE to the lowest computed polymorph**: 0.000 eV/atom

=====

Record 11
# PBE Ac12Pd3O5, optimized geometry
data_Ac12Pd3O5
_cell_length_a 16.838
_cell_length_b 16.838
_cell_length_c 16.838
_cell_angle_alpha 90.00
_cell_angle_beta 90.00
_cell_angle_gamma 90.00
_space_group_name_H-M_alt 'I a -3 d'
_space_group_IT_number 230
_space_group_name_Hall '-I 4bd 2c 3'
loop_
_atom_site_label
_atom_site_type_symbol
_atom_site_fract_x
_atom_site_fract_y
_atom_site_fract_z
Ac1 Ac 0.035 0.055 0.651
Pd1 Pd 0.000 0.250 0.125
O1 O 0.000 0.000 0.000
O2 O 0.000 0.250 0.375
# **DOS(E_F)**: 160.4 states/eV per cell
# **Calculated density**: 8.7 g/cm³
# **Energy**: -953.7 eV/cell
# **Total magnetic moment**: 0.01 μB per cell

=====

Record 12
# PBE PdN2, optimized geometry
data_PdN2
_cell_length_a 5.098
_cell_length_b 5.098
_cell_length_c 5.098
_cell_angle_alpha 90.00
_cell_angle_beta 90.00
_cell_angle_gamma 90.00
_space_group_name_H-M_alt 'P a -3'
_space_group_IT_number 205
_space_group_name_Hall '-P 2ac 2ab 3'
loop_
_atom_site_label
_atom_site_type_symbol
_atom_site_fract_x
_atom_site_fract_y
_atom_site_fract_z
Pd1 Pd 0.000 0.000 0.000
N1 N 0.069 0.569 0.931
# **DOS(E_F)**: 0.4 states/eV per cell
# **Calculated density**: 6.7 g/cm³
# **Energy**: -81.8 eV/cell
# **Total magnetic moment**: 0.00 μB per cell